1.
# Ti4NiSb | the Alexandria database | PBE | relaxed
data_Ti4NiSb
_cell_length_a 4.993
_cell_length_b 6.627
_cell_length_c 7.139
_cell_angle_alpha 103.38
_cell_angle_beta 110.47
_cell_angle_gamma 90.00
_space_group_name_H-M_alt 'P 1'
_space_group_IT_number 1
loop_
_space_group_symop_operation_xyz
'x,y,z'
loop_
_atom_site_label
_atom_site_type_symbol
_atom_site_fract_x
_atom_site_fract_y
_atom_site_fract_z
_atom_site_occupancy
Ti1 Ti 0.694 0.438 0.158 1
Ni1 Ni 0.000 0.500 0.500 1
Ti2 Ti 0.536 0.062 0.842 1
Sb1 Sb 0.882 0.750 0.000 1
Ti3 Ti 0.961 0.867 0.640 1
Ti4 Ti 0.679 0.367 0.640 1
Ti5 Ti 0.306 0.562 0.842 1
Sb2 Sb 0.118 0.250 0.000 1
Ti6 Ti 0.464 0.938 0.158 1
Ti7 Ti 0.039 0.133 0.360 1
Ni2 Ni 0.500 0.000 0.500 1
Ti8 Ti 0.321 0.633 0.360 1
# * ΔE_f (raw): -102 meV per atom
# * symmetry: C2/c, No. 15

2.
# CsTcAs2Se | the Alexandria database | PBE | relaxed
data_CsTcAs2Se
_cell_length_a 5.650
_cell_length_b 5.650
_cell_length_c 5.400
_cell_angle_alpha 90.00
_cell_angle_beta 90.00
_cell_angle_gamma 90.00
_space_group_name_H-M_alt 'P 1'
_space_group_IT_number 1
loop_
_space_group_symop_operation_xyz
'x,y,z'
loop_
_atom_site_label
_atom_site_type_symbol
_atom_site_fract_x
_atom_site_fract_y
_atom_site_fract_z
_atom_site_occupancy
Tc1 Tc 0.500 0.500 0.500 1
Se1 Se 0.000 0.000 0.500 1
Cs1 Cs 0.000 0.000 0.000 1
As1 As 0.000 0.500 0.000 1
As2 As 0.500 0.000 0.000 1
# * ΔE_f (raw): 2516 meV per atom
# * symmetry: P4/mmm, No. 123

3.
# Pr8Ag2Hg | the Alexandria database | PBE | relaxed
data_Pr8Ag2Hg
_cell_length_a 5.350
_cell_length_b 7.383
_cell_length_c 9.719
_cell_angle_alpha 107.05
_cell_angle_beta 105.98
_cell_angle_gamma 90.00
_space_group_name_H-M_alt 'P 1'
_space_group_IT_number 1
loop_
_space_group_symop_operation_xyz
'x,y,z'
loop_
_atom_site_label
_atom_site_type_symbol
_atom_site_fract_x
_atom_site_fract_y
_atom_site_fract_z
_atom_site_occupancy
Hg1 Hg 0.500 0.000 0.000 1
Pr1 Pr 0.027 0.766 0.053 1
Ag1 Ag 0.818 0.284 0.636 1
Pr2 Pr 0.330 0.023 0.660 1
Pr3 Pr 0.195 0.318 0.390 1
Pr4 Pr 0.973 0.234 0.947 1
Ag2 Ag 0.182 0.716 0.364 1
Pr5 Pr 0.409 0.536 0.818 1
Pr6 Pr 0.670 0.977 0.340 1
Pr7 Pr 0.591 0.464 0.182 1
Pr8 Pr 0.805 0.682 0.610 1
# * formation energy: -0.14 eV/atom
# * symmetry: C2/m, No. 12

One value per record, in order, for total DFT energy (no corrections): -0.2578 -0.0840 -0.1529 hartree per atom.